VASP calculation (PBE) on a relaxed LiMg2Se crystal.

abc: 4.978 4.978 4.978
angles: 60.00 60.00 60.00
Atoms (fractional coordinates):
Li (0.500, 0.500, 0.500)
Mg (0.000, 0.000, 0.000)
Mg (0.250, 0.250, 0.250)
Se (0.750, 0.750, 0.750)

Summary:
- V: 21.81 Å³/atom
- Energy: -2.37 eV/atom



VASP calculation (PBE) on a relaxed LiMg2Se crystal.

abc: 3.743 3.787 6.461
angles: 65.20 90.00 90.00
Atoms (fractional coordinates):
Se (0.500, 0.250, 0.250)
Mg (0.000, 0.068, 0.999)
Li (0.500, 0.750, 0.750)
Mg (0.000, 0.432, 0.501)

Summary:
- V: 20.78 Å³/atom
- Energy: -2.57 eV/atom



VASP calculation (PBE) on a relaxed LiMgSe2 crystal.

abc: 5.052 5.052 5.052
angles: 134.62 110.37 87.11
Atoms (fractional coordinates):
Li (0.750, 0.250, 0.500)
Se (0.499, 0.499, 0.000)
Mg (0.250, 0.750, 0.500)
Se (0.001, 0.001, 0.000)

Summary:
- V: 20.58 Å³/atom
- Energy: -3.40 eV/atom



VASP calculation (PBE) on a relaxed LiMgSe2 crystal.

abc: 3.838 3.838 5.435
angles: 90.00 90.00 90.00
Atoms (fractional coordinates):
Se (0.000, 0.000, 0.875)
Mg (0.500, 0.500, 0.875)
Li (0.000, 0.000, 0.375)
Se (0.500, 0.500, 0.375)

Summary:
- V: 20.01 Å³/atom
- Energy: -3.54 eV/atom



VASP calculation (PBE) on a relaxed LiMgSe2 crystal.

abc: 6.309 6.309 6.727
angles: 62.03 62.03 90.00
Atoms (fractional coordinates):
Mg (0.750, 0.250, 0.500)
Mg (0.000, 0.000, 0.000)
Se (0.619, 0.125, 0.250)
Li (0.250, 0.750, 0.500)
Li (0.500, 0.500, 0.000)
Se (0.875, 0.869, 0.750)
Se (0.375, 0.381, 0.750)
Se (0.131, 0.625, 0.250)

Summary:
- V: 25.05 Å³/atom
- Energy: -3.41 eV/atom



VASP calculation (PBE) on a relaxed Li2Mg2Se crystal.

abc: 3.919 3.919 7.522
angles: 74.90 74.90 90.00
Atoms (fractional coordinates):
Li (0.418, 0.418, 0.163)
Mg (0.750, 0.250, 0.500)
Li (0.582, 0.582, 0.837)
Mg (0.250, 0.750, 0.500)
Se (0.000, 0.000, 0.000)

Summary:
- V: 21.49 Å³/atom
- Distance to the lowest polymorph of the same formula: 143 meV per atom
- Energy: -2.30 eV/atom



| no. | formation energy (no corrections) (eV/atom) |
| --- | --- |
| 1 | -0.228 |
| 2 | -0.422 |
| 3 | -0.776 |
| 4 | -0.920 |
| 5 | -0.796 |
| 6 | -0.200 |